PBE NiSb2Au, optimized geometry; formation energy (no corrections) = -0.05 eV/atom; space group = R3m (160); size of the total moment = 0.00 μB per cell; crystal system = trigonal; total energy = -4.372 eV per atom
1.0
4.034 0.000 0.000
-2.017 3.493 0.000
0.000 0.000 18.213
Ni Sb Au
3 6 3
direct
0.000 0.000 0.000
0.333 0.667 0.667
0.667 0.333 0.333
0.000 0.000 0.391
0.000 0.000 0.592
0.333 0.667 0.058
0.333 0.667 0.259
0.667 0.333 0.725
0.667 0.333 0.925
0.000 0.000 0.155
0.333 0.667 0.821
0.667 0.333 0.488

***

PBE CaCoSn2, optimized geometry; space group = I-42d (122); size of the total moment = 2.92 μB per cell; crystal system = tetragonal; total energy = -4.183 eV per atom
1.0
5.277 0.000 0.000
0.000 5.277 0.000
0.000 0.000 16.485
Ca Co Sn
4 4 8
direct
0.000 0.000 0.000
0.000 0.500 0.250
0.500 0.000 0.750
0.500 0.500 0.500
0.000 0.000 0.500
0.000 0.500 0.750
0.500 0.000 0.250
0.500 0.500 0.000
0.107 0.250 0.625
0.250 0.607 0.875
0.250 0.893 0.375
0.393 0.250 0.125
0.607 0.750 0.125
0.750 0.107 0.375
0.750 0.393 0.875
0.893 0.750 0.625

***

PBE ReIr2RuRh, optimized geometry; space group = P4/mmm (123); size of the total moment = 0.60 μB per cell; crystal system = tetragonal; total energy = -6.973 eV per atom
1.0
4.670 0.000 0.000
0.000 4.670 0.000
0.000 0.000 4.563
Re Ir Ru Rh
1 2 1 1
direct
0.000 0.000 0.000
0.000 0.500 0.500
0.500 0.000 0.500
0.500 0.500 0.000
0.000 0.000 0.500

***

PBE Mg2Zn2Ag5, optimized geometry; space group = Imma (74); size of the total moment = 0.00 μB per cell; crystal system = orthorhombic; total energy = -2.248 eV per atom
1.0
-2.882 8.692 3.346
2.882 -8.692 3.346
2.882 8.692 -3.346
Mg Zn Ag
4 4 10
direct
0.000 0.000 0.000
0.298 0.048 0.250
0.500 0.000 0.500
0.702 0.952 0.750
0.001 0.437 0.564
0.372 0.437 0.936
0.628 0.563 0.064
0.999 0.563 0.436
0.085 0.000 0.585
0.085 0.500 0.085
0.300 0.550 0.750
0.370 0.000 0.870
0.370 0.500 0.370
0.630 0.000 0.130
0.630 0.500 0.630
0.700 0.450 0.250
0.915 0.000 0.415
0.915 0.500 0.915

***

PBE AlZnTc2, optimized geometry; space group = Cmm2 (35); size of the total moment = 0.00 μB per cell; crystal system = orthorhombic; total energy = -6.352 eV per atom
1.0
2.914 0.000 0.000
0.000 4.633 0.000
0.000 0.000 8.867
Al Zn Tc
2 2 4
direct
0.000 0.000 0.000
0.500 0.500 0.000
0.000 0.500 0.260
0.500 0.000 0.260
0.000 0.000 0.515
0.000 0.500 0.756
0.500 0.000 0.756
0.500 0.500 0.515

***

PBE BaIn2GaTc, optimized geometry; space group = P4/mmm (123); size of the total moment = 0.00 μB per cell; crystal system = tetragonal; total energy = -4.406 eV per atom
1.0
5.256 0.000 0.000
0.000 5.256 0.000
0.000 0.000 4.989
Ba In Ga Tc
1 2 1 1
direct
0.000 0.000 0.000
0.000 0.500 0.500
0.500 0.000 0.500
0.500 0.500 0.000
0.500 0.500 0.500

***

no.,D(E_F) (states/eV per cell)
1,5.95
2,10.84
3,8.18
4,4.59
5,6.85
6,1.01